(1)
Li2ScCu | meta-GGA SCAN | single point on PBEsol structure

For the energy relative to the elements, the calculation gives 0.241 eV per atom. For the energy above the most stable polymorph in this dataset, the calculation gives 200 meV per atom.

abc: 9.4564 9.4564 9.4564
angles: 17.61 17.61 17.61
Last column: nearest neighbours and their distance in Å.
Sites, in units of the cell vectors:
Li  0.2378  0.2378  0.2378  3 Cu 2.60, 6 Li 2.89
Li  0.7622  0.7622  0.7622  3 Cu 2.60, 6 Li 2.89
Sc  0.0000  0.0000  0.0000  6 Sc 2.89, 6 Li 3.15
Cu  0.5000  0.5000  0.5000  6 Li 2.60, 6 Cu 2.89

***

(2)
LiSc2Cu2 | meta-GGA SCAN | single point on PBEsol structure

For the energy relative to the elements, the calculation gives -0.190 eV per atom.

abc: 7.3398 7.3398 3.2193
angles: 90.00 90.00 90.00
Last column: nearest neighbours and their distance in Å.
Sites, in units of the cell vectors:
Li  0.0000  0.0000  0.0000  4 Cu 2.90, 8 Sc 3.18, 2 Li 3.22
Li  0.5000  0.5000  0.0000  4 Cu 2.90, 8 Sc 3.18, 2 Li 3.22
Sc  0.1652  0.3348  0.5000  6 Cu 2.69-2.70
Sc  0.3348  0.8348  0.5000  6 Cu 2.69-2.70
Sc  0.6652  0.1652  0.5000  6 Cu 2.69-2.70
Sc  0.8348  0.6652  0.5000  6 Cu 2.69-2.70
Cu  0.1262  0.6262  0.0000  1 Cu 2.62, 6 Sc 2.69-2.70, 2 Li 2.90
Cu  0.3738  0.1262  0.0000  1 Cu 2.62, 6 Sc 2.69-2.70, 2 Li 2.90
Cu  0.6262  0.8738  0.0000  1 Cu 2.62, 6 Sc 2.69-2.70, 2 Li 2.90
Cu  0.8738  0.3738  0.0000  1 Cu 2.62, 6 Sc 2.69-2.70, 2 Li 2.90

***

(3)
LiSc2Cu | meta-GGA SCAN | single point on PBEsol structure

For the energy relative to the elements, the calculation gives -0.083 eV per atom.

abc: 3.2853 3.2853 6.8430
angles: 90.00 90.00 90.00
Last column: nearest neighbours and their distance in Å.
Sites, in units of the cell vectors:
Li  0.0000  0.0000  0.0000  8 Sc 3.00, 4 Li 3.29
Sc  0.5000  0.5000  0.2782  4 Cu 2.78, 4 Li 3.00, 1 Sc 3.04
Sc  0.5000  0.5000  0.7218  4 Cu 2.78, 4 Li 3.00, 1 Sc 3.04
Cu  0.0000  0.0000  0.5000  8 Sc 2.78

***

(4)
Li2ScCu | meta-GGA SCAN | single point on PBEsol structure

For the energy relative to the elements, the calculation gives 0.041 eV per atom. For the energy above the most stable polymorph in this dataset, the calculation gives 0 meV per atom.

abc: 4.4996 4.4996 4.4996
angles: 60.00 60.00 60.00
Last column: nearest neighbours and their distance in Å.
Sites, in units of the cell vectors:
Li  0.0000  0.0000  0.0000  4 Cu 2.76, 4 Li 2.76
Li  0.2500  0.2500  0.2500  4 Li 2.76, 4 Sc 2.76
Sc  0.5000  0.5000  0.5000  4 Cu 2.76, 4 Li 2.76
Cu  0.7500  0.7500  0.7500  4 Li 2.76, 4 Sc 2.76

***

(5)
LiScCu4 | meta-GGA SCAN | single point on PBEsol structure

For the energy relative to the elements, the calculation gives -0.214 eV per atom.

abc: 4.8648 4.8648 4.8648
angles: 60.00 60.00 60.00
Last column: nearest neighbours and their distance in Å.
Sites, in units of the cell vectors:
Li  0.0000  0.0000  0.0000  12 Cu 2.85, 4 Sc 2.98
Sc  0.7500  0.7500  0.7500  12 Cu 2.85, 4 Li 2.98
Cu  0.3744  0.3744  0.3744  6 Cu 2.42-2.44
Cu  0.3744  0.3744  0.8768  6 Cu 2.42-2.44
Cu  0.3744  0.8768  0.3744  6 Cu 2.42-2.44
Cu  0.8768  0.3744  0.3744  6 Cu 2.42-2.44

***

(6)
Li2CuSe | meta-GGA SCAN | single point on PBEsol structure

As for the raw formation energy: -0.33 eV per atom.

abc: 2.8798 3.8102 5.3737
angles: 90.00 90.00 90.00
Last column: nearest neighbours and their distance in Å.
Sites, in units of the cell vectors:
Li  0.0000  0.0000  0.0000  4 Cu 2.62, 2 Se 2.64-2.73, 6 Li 2.86-2.88
Li  0.5000  0.5000  0.2942  4 Se 2.65, 2 Cu 2.66-2.71, 6 Li 2.86-2.88
Cu  0.5000  0.5000  0.7992  6 Li 2.62-2.71, 4 Se 2.85, 2 Cu 2.88
Se  0.0000  0.0000  0.5082  6 Li 2.64-2.73, 4 Cu 2.85, 2 Se 2.88

***

(7)
LiCu2Se | meta-GGA SCAN | single point on PBEsol structure

As for the raw formation energy: -0.25 eV per atom.

abc: 3.6492 3.6492 3.9091
angles: 90.00 90.00 90.00
Last column: nearest neighbours and their distance in Å.
Sites, in units of the cell vectors:
Li  0.0000  0.0000  0.0000  4 Se 2.58, 8 Cu 2.67
Cu  0.0000  0.5000  0.5000  4 Cu 2.58, 4 Se 2.67, 4 Li 2.67
Cu  0.5000  0.0000  0.5000  4 Cu 2.58, 4 Se 2.67, 4 Li 2.67
Se  0.5000  0.5000  0.0000  4 Li 2.58, 8 Cu 2.67

***

(8)
LiCuSe2 | meta-GGA SCAN | single point on PBEsol structure

As for the raw formation energy: -0.45 eV per atom.

abc: 5.9058 5.9058 5.9058
angles: 144.78 136.33 57.30
Last column: nearest neighbours and their distance in Å.
Sites, in units of the cell vectors:
Li  0.0000  0.0000  0.0000  4 Se 2.67, 4 Cu 2.83
Cu  0.5000  0.5000  0.0000  4 Se 2.34
Se  0.3540  0.8540  0.5000  2 Cu 2.34
Se  0.6460  0.1460  0.5000  2 Cu 2.34

***

(9)
Li2CuSe | meta-GGA SCAN | single point on PBEsol structure

As for the raw formation energy: -0.33 eV per atom.

abc: 3.8343 3.8343 6.5186
angles: 96.70 96.70 41.26
Last column: nearest neighbours and their distance in Å.
Sites, in units of the cell vectors:
Li  0.2454  0.2454  0.2405  3 Se 2.55-2.59, 3 Cu 2.59-2.69, 2 Li 2.70
Li  0.7546  0.7546  0.7595  3 Se 2.55-2.59, 3 Cu 2.59-2.69, 2 Li 2.70
Cu  0.0000  0.0000  0.5000  6 Li 2.59-2.69, 2 Cu 2.70
Se  0.5000  0.5000  0.0000  6 Li 2.55-2.59, 2 Se 2.70

***

(10)
LiCuSe2 | meta-GGA SCAN | single point on PBEsol structure

As for the raw formation energy: -0.45 eV per atom.

abc: 2.9416 4.2495 5.1577
angles: 90.00 90.00 90.00
Last column: nearest neighbours and their distance in Å.
Sites, in units of the cell vectors:
Li  0.0000  0.0000  0.0000  6 Se 2.58
Cu  0.5000  0.5000  0.5000  6 Se 2.58
Se  0.0000  0.0000  0.5000  2 Li 2.58, 4 Cu 2.58
Se  0.5000  0.5000  0.0000  2 Cu 2.58, 4 Li 2.58

***

(11)
Li2CuSe | meta-GGA SCAN | single point on PBEsol structure

As for the raw formation energy: -0.25 eV per atom.

abc: 8.9561 8.9561 8.9561
angles: 155.36 155.36 35.12
Last column: nearest neighbours and their distance in Å.
Sites, in units of the cell vectors:
Li  0.1062  0.6250  0.9812  2 Se 2.50, 2 Cu 2.55, 2 Li 2.60
Li  0.3750  0.3562  0.4812  2 Se 2.50, 2 Cu 2.55, 2 Li 2.60
Li  0.6438  0.1250  0.0188  2 Se 2.50, 2 Cu 2.55, 2 Li 2.60
Li  0.8750  0.8938  0.5188  2 Se 2.50, 2 Cu 2.55, 2 Li 2.60
Cu  0.2500  0.7500  0.5000  4 Li 2.55, 4 Se 2.70
Cu  0.5000  0.5000  0.0000  4 Li 2.55, 4 Se 2.70
Se  0.0000  0.0000  0.0000  4 Li 2.50, 4 Cu 2.70
Se  0.7500  0.2500  0.5000  4 Li 2.50, 4 Cu 2.70

***

(12)
Li4CuSe | meta-GGA SCAN | single point on PBEsol structure

As for the raw formation energy: -0.03 eV per atom.

abc: 5.0416 5.0416 5.0416
angles: 60.00 60.00 60.00
Last column: nearest neighbours and their distance in Å.
Sites, in units of the cell vectors:
Li  0.1249  0.1249  0.1249  6 Li 2.52
Li  0.1249  0.1249  0.6254  6 Li 2.52
Li  0.1249  0.6254  0.1249  6 Li 2.52
Li  0.6254  0.1249  0.1249  6 Li 2.52
Cu  0.7500  0.7500  0.7500  12 Li 2.96, 4 Se 3.09
Se  0.5000  0.5000  0.5000  12 Li 2.96, 4 Cu 3.09

***

(13)
Li2CuSe | meta-GGA SCAN | single point on PBEsol structure

As for the raw formation energy: -0.44 eV per atom.

abc: 3.4559 3.4559 4.9586
angles: 90.00 90.00 90.00
Last column: nearest neighbours and their distance in Å.
Sites, in units of the cell vectors:
Li  0.0000  0.0000  0.2328  1 Li 2.31
Li  0.0000  0.0000  0.7672  1 Li 2.31
Cu  0.5000  0.5000  0.5000  2 Se 2.48
Se  0.5000  0.5000  0.0000  2 Cu 2.48, 8 Li 2.70

***

(14)
LiCu2Se | meta-GGA SCAN | single point on PBEsol structure

As for the raw formation energy: -0.04 eV per atom.

abc: 3.2882 3.3252 5.0140
angles: 90.00 90.00 90.00
Last column: nearest neighbours and their distance in Å.
Sites, in units of the cell vectors:
Li  0.0000  0.0000  0.0000  2 Se 2.51, 8 Cu 2.65
Cu  0.5000  0.5000  0.2487  2 Cu 2.49-2.52, 4 Li 2.65, 4 Se 2.66
Cu  0.5000  0.5000  0.7513  2 Cu 2.49-2.52, 4 Li 2.65, 4 Se 2.66
Se  0.0000  0.0000  0.5000  2 Li 2.51, 8 Cu 2.66

***

(15)
LiCuSe2 | meta-GGA SCAN | single point on PBEsol structure

As for the raw formation energy: -0.50 eV per atom.

abc: 6.9688 6.9688 3.7511
angles: 90.06 90.06 23.13
Last column: nearest neighbours and their distance in Å.
Sites, in units of the cell vectors:
Li  0.0000  0.0000  0.0000  6 Se 2.60-2.74, 2 Li 2.79
Cu  0.7582  0.7582  0.4970  5 Se 2.39-2.53
Se  0.3275  0.3275  0.9983  4 Cu 2.52-2.53, 2 Li 2.74, 2 Se 2.79
Se  0.5833  0.5833  0.5001  1 Cu 2.39, 4 Li 2.60